DFT (PBE-GGA) results for DyEr6Th4 after structural relaxation. Values from VASP.

Summary:
offset from the most stable computed form: 0.00 eV/f.u.
V: 32.04 A^3/atom
DOS at the Fermi energy: 15.6 states/eV per cell
energy: -5.44 eV/atom
M_tot: 0.0 μB/cell

Cell and atoms, written as Quantum ESPRESSO input:
```
&SYSTEM
  ibrav = 0, nat = 11, ntyp = 3
/
ATOMIC_SPECIES
Dy 162.50 Dy.upf
Er 167.26 Er.upf
Th 232.04 Th.upf
CELL_PARAMETERS angstrom
0.141 3.128 -1.351
2.177 -2.220 -4.907
-17.638 -2.481 -3.265
ATOMIC_POSITIONS crystal
Dy 0.000 0.000 0.000
Er 0.767 0.267 0.534
Er 0.869 0.369 0.738
Er 0.131 0.631 0.262
Er 0.596 0.096 0.192
Er 0.404 0.904 0.808
Er 0.233 0.733 0.466
Th 0.456 0.456 0.912
Th 0.181 0.182 0.364
Th 0.819 0.818 0.636
Th 0.544 0.544 0.088
```